# BiHRu PBE optimized geometry
data_BiHRu
_chemical_formula_sum 'Bi2 H2 Ru2'
_symmetry_space_group_name_H-M 'P 4/n m m'
_symmetry_Int_Tables_number 129
_cell_length_a 3.958
_cell_length_b 3.958
_cell_length_c 6.651
_cell_angle_alpha 90.00
_cell_angle_beta 90.00
_cell_angle_gamma 90.00
loop_
_symmetry_equiv_pos_as_xyz
'x,y,z'
'-x,-y,-z'
'-y+1/2,x,z'
'y+1/2,-x,-z'
'-x+1/2,-y+1/2,z'
'x+1/2,y+1/2,-z'
'y,-x+1/2,z'
'-y,x+1/2,-z'
'x+1/2,-y,-z'
'-x+1/2,y,z'
'-y,-x,-z'
'y,x,z'
'-x,y+1/2,-z'
'x,-y+1/2,z'
'y+1/2,x+1/2,-z'
'-y+1/2,-x+1/2,z'
loop_
_atom_site_label
_atom_site_type_symbol
_atom_site_fract_x
_atom_site_fract_y
_atom_site_fract_z
_atom_site_occupancy
Bi1 Bi 0.250 0.250 0.202 1
H1 H 0.250 0.250 0.567 1
Ru1 Ru 0.250 0.750 0.500 1
# DOS at the Fermi energy = 2.995 states/eV per cell
# calculated total energy = -5.32 eV per atom